# PuScTlGa (PBE, relaxed)
# E_tot ... -27.22 eV for the cell shown
# V ... 91 Å³ per cell
# Energy of formation from the pure elements ... -0.291 eV per atom
data_PuScTlGa
_chemical_formula_sum 'Pu1 Sc1 Tl1 Ga1'
_cell_length_a 3.244
_cell_length_b 3.244
_cell_length_c 8.681
_cell_angle_alpha 90.00
_cell_angle_beta 90.00
_cell_angle_gamma 90.00
_symmetry_space_group_name_H-M 'P 4 m m'
_symmetry_Int_Tables_number 99
loop_
_symmetry_equiv_pos_as_xyz
'x,y,z'
'-y,x,z'
'-x,-y,z'
'y,-x,z'
'-x,y,z'
'y,x,z'
'x,-y,z'
'-y,-x,z'
loop_
_atom_site_label
_atom_site_type_symbol
_atom_site_fract_x
_atom_site_fract_y
_atom_site_fract_z
_atom_site_occupancy
Pu1 Pu 0.000 0.000 0.000 1
Sc1 Sc 0.000 0.000 0.547 1
Tl1 Tl 0.500 0.500 0.288 1
Ga1 Ga 0.500 0.500 0.757 1


# PuScTlGa (PBE, relaxed)
# E_tot ... -107.68 eV for the cell shown
# V ... 379 Å³ per cell
# Energy of formation from the pure elements ... -0.216 eV per atom
data_PuScTlGa
_chemical_formula_sum 'Pu4 Sc4 Tl4 Ga4'
_cell_length_a 7.234
_cell_length_b 7.234
_cell_length_c 7.234
_cell_angle_alpha 90.00
_cell_angle_beta 90.00
_cell_angle_gamma 90.00
_symmetry_space_group_name_H-M 'F -4 3 m'
_symmetry_Int_Tables_number 216
_symmetry_space_group_name_Hall 'F -4 2 3'
loop_
_atom_site_label
_atom_site_type_symbol
_atom_site_fract_x
_atom_site_fract_y
_atom_site_fract_z
_atom_site_occupancy
Pu1 Pu 0.000 0.000 0.000 1
Sc1 Sc 0.000 0.000 0.500 1
Tl1 Tl 0.250 0.250 0.750 1
Ga1 Ga 0.250 0.250 0.250 1


# PuScZnGa (PBE, relaxed)
# E_tot ... -104.76 eV for the cell shown
# V ... 335 Å³ per cell
# Energy of formation from the pure elements ... -0.307 eV per atom
data_PuScZnGa
_chemical_formula_sum 'Pu4 Sc4 Zn4 Ga4'
_cell_length_a 6.948
_cell_length_b 6.948
_cell_length_c 6.948
_cell_angle_alpha 90.00
_cell_angle_beta 90.00
_cell_angle_gamma 90.00
_symmetry_space_group_name_H-M 'F -4 3 m'
_symmetry_Int_Tables_number 216
_symmetry_space_group_name_Hall 'F -4 2 3'
loop_
_atom_site_label
_atom_site_type_symbol
_atom_site_fract_x
_atom_site_fract_y
_atom_site_fract_z
_atom_site_occupancy
Pu1 Pu 0.000 0.000 0.000 1
Sc1 Sc 0.000 0.000 0.500 1
Zn1 Zn 0.250 0.250 0.750 1
Ga1 Ga 0.250 0.250 0.250 1


# PuScZn2Ga2 (PBE, relaxed)
# E_tot ... -31.54 eV for the cell shown
# V ... 116 Å³ per cell
# Energy of formation from the pure elements ... -0.380 eV per atom
data_PuScZn2Ga2
_chemical_formula_sum 'Pu1 Sc1 Zn2 Ga2'
_cell_length_a 4.3737
_cell_length_b 4.3737
_cell_length_c 6.9995
_cell_angle_alpha 90.00
_cell_angle_beta 90.00
_cell_angle_gamma 120.00
_symmetry_space_group_name_H-M 'P -3 m 1'
_symmetry_Int_Tables_number 164
_symmetry_space_group_name_Hall '-P 3 2"'
loop_
_atom_site_label
_atom_site_type_symbol
_atom_site_fract_x
_atom_site_fract_y
_atom_site_fract_z
_atom_site_occupancy
Pu1 Pu 0.0000 0.0000 0.0000 1
Sc1 Sc 0.0000 0.0000 0.5000 1
Zn1 Zn 0.3333 0.6667 0.7129 1
Ga1 Ga 0.3333 0.6667 0.2715 1


# PuSc2Zn2Ga2 (PBE, relaxed)
# E_tot ... -112.88 eV for the cell shown
# V ... 431 Å³ per cell
# Energy of formation from the pure elements ... -0.290 eV per atom
data_PuSc2Zn2Ga2
_chemical_formula_sum 'Pu3 Sc6 Zn6 Ga6'
_cell_length_a 4.4229
_cell_length_b 4.4229
_cell_length_c 25.4424
_cell_angle_alpha 90.00
_cell_angle_beta 90.00
_cell_angle_gamma 120.00
_symmetry_space_group_name_H-M 'R -3 m'
_symmetry_Int_Tables_number 166
_symmetry_space_group_name_Hall '-R 3 2"'
loop_
_atom_site_label
_atom_site_type_symbol
_atom_site_fract_x
_atom_site_fract_y
_atom_site_fract_z
_atom_site_occupancy
Pu1 Pu 0.0000 0.0000 0.0000 1
Sc1 Sc 0.0000 0.0000 0.1289 1
Zn1 Zn 0.0000 0.0000 0.4094 1
Ga1 Ga 0.0000 0.0000 0.2537 1


# PuGa2Se6 (PBE, relaxed)
# E_form (uncorrected) ... -0.56 eV per atom
# E_tot ... -185.31 eV for the cell shown
# V ... 1019 Å³ per cell
data_PuGa2Se6
_chemical_formula_sum 'Pu4 Ga8 Se24'
_cell_length_a 11.905
_cell_length_b 11.962
_cell_length_c 7.157
_cell_angle_alpha 90.00
_cell_angle_beta 91.00
_cell_angle_gamma 90.00
_symmetry_space_group_name_H-M 'C 1 2/c 1'
_symmetry_Int_Tables_number 15
loop_
_symmetry_equiv_pos_as_xyz
'x,y,z'
'-x,-y,-z'
'-x,y,-z+1/2'
'x,-y,z+1/2'
'x+1/2,y+1/2,z'
'-x+1/2,-y+1/2,-z'
'-x+1/2,y+1/2,-z+1/2'
'x+1/2,-y+1/2,z+1/2'
loop_
_atom_site_label
_atom_site_type_symbol
_atom_site_fract_x
_atom_site_fract_y
_atom_site_fract_z
_atom_site_occupancy
Pu1 Pu 0.000 0.103 0.250 1
Ga1 Ga 0.164 0.421 0.105 1
Se1 Se 0.104 0.396 0.759 1
Se2 Se 0.134 0.056 0.939 1
Se3 Se 0.152 0.275 0.327 1


# PuGaSe (PBE, relaxed)
# E_form (uncorrected) ... -0.80 eV per atom
# E_tot ... -93.02 eV for the cell shown
# V ... 271 Å³ per cell
data_PuGaSe
_chemical_formula_sum 'Pu4 Ga4 Se4'
_cell_length_a 3.846
_cell_length_b 16.435
_cell_length_c 4.282
_cell_angle_alpha 90.00
_cell_angle_beta 90.00
_cell_angle_gamma 90.00
_symmetry_space_group_name_H-M 'C m c m'
_symmetry_Int_Tables_number 63
_symmetry_space_group_name_Hall '-C 2c 2'
loop_
_atom_site_label
_atom_site_type_symbol
_atom_site_fract_x
_atom_site_fract_y
_atom_site_fract_z
_atom_site_occupancy
Pu1 Pu 0.000 0.093 0.250 1
Ga1 Ga 0.000 0.246 0.750 1
Se1 Se 0.000 0.418 0.250 1


# PuGa2Se4 (PBE, relaxed)
# E_form (uncorrected) ... -0.68 eV per atom
# E_tot ... -78.18 eV for the cell shown
# V ... 388 Å³ per cell
data_PuGa2Se4
_chemical_formula_sum 'Pu2 Ga4 Se8'
_cell_length_a 7.837
_cell_length_b 7.837
_cell_length_c 6.325
_cell_angle_alpha 90.00
_cell_angle_beta 90.00
_cell_angle_gamma 90.00
_symmetry_space_group_name_H-M 'I 4/m'
_symmetry_Int_Tables_number 87
_symmetry_space_group_name_Hall '-I 4'
loop_
_atom_site_label
_atom_site_type_symbol
_atom_site_fract_x
_atom_site_fract_y
_atom_site_fract_z
_atom_site_occupancy
Pu1 Pu 0.000 0.000 0.000 1
Ga1 Ga 0.000 0.500 0.250 1
Se1 Se 0.159 0.317 0.500 1


Question: What is the V in the fourth record?
Answer: 116 Å³ per cell